1.
This record from Alexandria via LeMat-Bulk describes a crystal of AlRe2Si relaxed with PBEsol. The functional is meta-GGA SCAN.

Output
magnetic moment: 0.000 μB per atom
uncorrected formation energy: -0.1995 eV/atom
E above lowest polymorph: 0.0000 eV/atom

POSCAR file:
```
AlRe2Si
1.0
2.981 0.000 0.000
0.000 2.981 0.000
0.000 0.000 6.084
Si Re Al
1 2 1
Cartesian
1.490 1.490 0.000 Si
0.000 0.000 1.400 Re
0.000 0.000 4.685 Re
1.490 1.490 3.042 Al
```


2.
This record from Alexandria via LeMat-Bulk describes a crystal of BeRu5 relaxed with PBEsol. The functional is meta-GGA SCAN.

Output
magnetic moment: 0.000 μB per atom
ΔH_f (0 K): -0.042 eV per atom

POSCAR file:
```
BeRu5
1.0
-0.339 1.932 1.854
1.421 -1.454 1.775
8.590 4.540 -3.157
Ru Be
5 1
Cartesian
0.000 0.000 0.000 Ru
7.537 3.936 -0.757 Ru
2.134 1.081 1.229 Ru
3.095 1.636 -1.138 Ru
5.495 2.904 -2.020 Ru
4.836 2.509 0.236 Be
```


3.
This record from Alexandria via LeMat-Bulk describes a crystal of SrZr2Cd relaxed with PBEsol. The functional is meta-GGA SCAN.

Output
magnetic moment: 0.001 μB per atom
ΔH_f (0 K): 0.451 eV per atom

POSCAR file:
```
SrZr2Cd
1.0
-1.694 1.662 -1.846
-4.961 -1.838 2.900
2.653 5.007 2.072
Cd Sr Zr
1 1 2
Cartesian
-0.847 0.831 -0.923 Cd
-2.001 2.415 1.563 Sr
-2.481 -0.919 1.450 Zr
1.327 2.503 1.036 Zr
```


4.
This record from Alexandria via LeMat-Bulk describes a crystal of LiMgCr2Rh relaxed with PBEsol. The functional is meta-GGA SCAN.

Output
magnetic moment: 1.418 μB per atom
ΔH_f (0 K): 0.538 eV per atom

POSCAR file:
```
LiMgCr2Rh
1.0
4.625 0.000 0.000
0.000 4.588 0.000
0.000 0.000 4.588
Cr Li Rh Mg
2 1 1 1
Cartesian
0.000 2.294 0.000 Cr
0.000 0.000 2.294 Cr
2.313 0.000 0.000 Li
0.000 0.000 0.000 Rh
2.313 2.294 2.294 Mg
```


5.
This record from Alexandria via LeMat-Bulk describes a crystal of CsNbCl2 relaxed with PBEsol. The functional is meta-GGA SCAN.

Output
magnetic moment: 1.000 μB per atom
uncorrected formation energy: -0.3507 eV/atom

POSCAR file:
```
CsNbCl2
1.0
5.284 0.000 0.000
2.642 4.576 0.000
2.642 1.525 4.315
Nb Cs Cl
1 1 2
Cartesian
0.000 0.000 0.000 Nb
5.284 3.051 2.157 Cs
2.642 1.525 1.079 Cl
7.927 4.576 3.236 Cl
```


6.
This record from Alexandria via LeMat-Bulk describes a crystal of RbTa3Ni relaxed with PBEsol. The functional is meta-GGA SCAN.

Output
magnetic moment: 0.001 μB per atom
ΔH_f (0 K): 1.642 eV per atom

POSCAR file:
```
RbTa3Ni
1.0
4.754 0.000 0.000
0.000 4.754 0.000
0.000 0.000 4.754
Ta Rb Ni
3 1 1
Cartesian
0.000 0.000 2.377 Ta
0.000 2.377 0.000 Ta
2.377 0.000 0.000 Ta
2.377 2.377 2.377 Rb
0.000 0.000 0.000 Ni
```


7.
This record from Alexandria via LeMat-Bulk describes a crystal of LiTc3Mo relaxed with PBEsol. The functional is meta-GGA SCAN.

Output
magnetic moment: 0.566 μB per atom
ΔH_f (0 K): 1.572 eV per atom

POSCAR file:
```
LiTc3Mo
1.0
-1.803 1.400 -4.022
-0.570 -4.408 -1.278
-4.220 -0.003 1.891
Tc Li Mo
3 1 1
Cartesian
-0.285 -2.204 -0.639 Tc
-2.110 -0.001 0.946 Tc
-0.902 0.700 -2.011 Tc
-3.297 -1.505 -1.705 Li
0.000 0.000 0.000 Mo
```


8.
This record from Alexandria via LeMat-Bulk describes a crystal of La2AlNi relaxed with PBEsol. The functional is meta-GGA SCAN.

Output
magnetic moment: 0.000 μB per atom
ΔH_f (0 K): -0.169 eV per atom

POSCAR file:
```
La2AlNi
1.0
-1.816 1.623 -3.191
3.609 -1.541 -2.837
-2.372 -4.152 -0.762
Al La Ni
1 2 1
Cartesian
-0.908 0.811 -1.595 Al
1.804 -0.770 -1.419 La
-1.186 -2.076 -0.381 La
-0.289 -2.035 -3.395 Ni
```


9.
This record from Alexandria via LeMat-Bulk describes a crystal of Sr3CaRu2O9 relaxed with PBEsol. The functional is meta-GGA SCAN.

Output
magnetic moment: 0.400 μB per atom
uncorrected formation energy: -2.3694 eV/atom

POSCAR file:
```
Sr3CaRu2O9
1.0
-4.914 0.385 -2.850
-2.784 -8.669 3.630
-5.815 6.452 10.898
O Sr Ru Ca
36 12 8 4
Cartesian
-10.403 0.909 6.841 O
-3.059 -4.104 2.474 O
-7.552 -0.356 3.831 O
-10.418 -1.120 8.886 O
-7.483 -6.062 0.859 O
-3.110 -2.742 4.837 O
-7.636 2.111 10.381 O
-5.877 -3.944 1.297 O
-8.416 -4.732 5.952 O
-4.681 0.406 -0.631 O
-8.832 -2.239 12.309 O
-5.097 2.899 5.725 O
-6.017 3.051 8.341 O
-6.014 -3.358 9.745 O
-7.753 -1.257 9.956 O
-5.926 -4.857 6.931 O
-7.496 -4.884 3.337 O
-6.030 4.229 10.818 O
-10.454 2.271 9.204 O
-3.095 -0.712 2.792 O
-5.760 -0.576 1.721 O
-8.685 3.188 7.269 O
-7.587 3.024 4.747 O
-4.828 -5.020 4.409 O
-4.041 1.775 1.675 O
-5.961 -1.477 7.846 O
-7.499 1.525 1.933 O
-9.472 -3.608 10.003 O
-6.931 1.157 6.591 O
-4.718 -0.507 5.010 O
-11.330 -2.104 11.318 O
-3.764 -1.910 0.394 O
-6.582 -2.990 5.087 O
-2.183 0.271 0.360 O
-9.749 0.077 11.283 O
-8.795 -1.325 6.668 O
-5.454 -6.451 2.451 Sr
-8.059 4.619 9.227 Sr
-4.480 0.886 7.456 Sr
-6.178 -1.951 -0.591 Sr
-8.433 0.667 8.503 Sr
-5.520 1.450 3.637 Sr
-9.033 -2.719 4.222 Sr
-7.993 -3.282 8.041 Sr
-5.080 -2.499 3.175 Sr
-9.117 5.164 5.484 Sr
-7.335 0.118 12.269 Sr
-4.396 -6.997 6.194 Sr
-5.786 2.429 10.257 Ru
-2.847 -0.717 4.792 Ru
-10.666 -1.116 6.886 Ru
-7.727 -4.261 1.421 Ru
-6.835 3.028 6.486 Ru
-9.594 -1.717 10.670 Ru
-3.919 -0.116 1.007 Ru
-6.678 -4.860 5.192 Ru
-3.849 -4.142 0.390 Ca
-6.756 -0.916 5.839 Ca
-2.908 3.226 5.449 Ca
0.000 0.000 0.000 Ca
```


10.
This record from Alexandria via LeMat-Bulk describes a crystal of Y3SbH relaxed with PBEsol. The functional is meta-GGA SCAN.

Output
magnetic moment: 0.158 μB per atom
E above lowest polymorph: 0.0000 eV/atom

POSCAR file:
```
Y3SbH
1.0
-2.745 -1.799 -3.388
-1.843 -3.035 3.105
-3.364 3.131 1.063
Y H Sb
3 1 1
Cartesian
-1.373 -0.900 -1.694 Y
-1.682 1.566 0.531 Y
-0.922 -1.518 1.553 Y
0.000 0.000 0.000 H
-3.976 -0.852 0.390 Sb
```


11.
This record from Alexandria via LeMat-Bulk describes a crystal of ScCoSb2 relaxed with PBEsol. The functional is meta-GGA SCAN.

Output
magnetic moment: 0.000 μB per atom
uncorrected formation energy: -0.2542 eV/atom

POSCAR file:
```
ScCoSb2
1.0
-1.513 -2.511 1.251
2.023 -2.430 -2.431
4.201 1.911 4.857
Sb Sc Co
2 1 1
Cartesian
1.229 -1.504 2.526 Sb
4.193 -2.964 3.181 Sb
0.761 -2.534 -0.105 Sc
3.494 -1.526 1.162 Co
```


12.
This record from Alexandria via LeMat-Bulk describes a crystal of MgInRhO2 relaxed with PBEsol. The functional is meta-GGA SCAN.

Output
magnetic moment: 0.375 μB per atom
uncorrected formation energy: -0.3976 eV/atom

POSCAR file:
```
MgInRhO2
1.0
3.816 0.000 0.000
0.000 3.816 0.000
0.000 0.000 5.111
O Mg In Rh
2 1 1 1
Cartesian
0.000 1.908 0.000 O
1.908 0.000 0.000 O
0.000 0.000 0.000 Mg
1.908 1.908 2.556 In
0.000 0.000 2.556 Rh
```


13.
This record from Alexandria via LeMat-Bulk describes a crystal of CeInAu2 relaxed with PBEsol. The functional is meta-GGA SCAN.

Output
magnetic moment: 0.223 μB per atom
ΔH_f (0 K): -0.775 eV per atom

POSCAR file:
```
CeInAu2
1.0
-4.819 0.203 1.035
-3.212 -2.611 -2.683
-2.264 -3.909 1.981
Ce Au In
1 2 1
Cartesian
0.000 0.000 0.000 Ce
-7.721 -4.738 0.249 Au
-2.574 -1.579 0.083 Au
-5.148 -3.159 0.166 In
```


14.
This record from Alexandria via LeMat-Bulk describes a crystal of Re2HgSb relaxed with PBEsol. The functional is meta-GGA SCAN.

Output
magnetic moment: 0.000 μB per atom
uncorrected formation energy: 0.9502 eV/atom
E above lowest polymorph: 0.5975 eV/atom

POSCAR file:
```
Re2HgSb
1.0
-2.013 2.032 1.026
-1.101 -4.198 1.655
3.497 1.607 3.679
Re Hg Sb
2 1 1
Cartesian
-0.103 -1.173 2.122 Re
0.486 0.614 4.239 Re
-1.006 1.016 0.513 Hg
1.748 0.803 1.840 Sb
```


15.
This record from Alexandria via LeMat-Bulk describes a crystal of KBaOs2 relaxed with PBEsol. The functional is meta-GGA SCAN.

Output
magnetic moment: 0.000 μB per atom
ΔH_f (0 K): 1.255 eV per atom
E above lowest polymorph: 0.0000 eV/atom

POSCAR file:
```
KBaOs2
1.0
-2.288 -0.574 1.700
0.437 -5.277 -1.195
4.312 -0.889 5.504
Ba Os K
1 2 1
Cartesian
-0.925 -2.926 0.252 Ba
3.621 -0.747 4.622 Os
0.691 -0.142 0.882 Os
1.231 -3.370 3.004 K
```


16.
This record from Alexandria via LeMat-Bulk describes a crystal of LaPrAl6 relaxed with PBEsol. The functional is meta-GGA SCAN.

Output
magnetic moment: 0.008 μB per atom
ΔH_f (0 K): -0.469 eV per atom

POSCAR file:
```
LaPrAl6
1.0
4.617 0.000 0.000
0.000 6.523 0.000
0.000 -3.261 5.649
Al Pr La
6 1 1
Cartesian
2.309 1.379 0.796 Al
0.000 0.000 1.584 Al
0.000 -1.890 4.857 Al
2.309 5.144 0.796 Al
0.000 1.890 4.857 Al
2.309 3.261 4.057 Al
0.000 3.261 1.883 Pr
2.309 0.000 3.766 La
```


17.
This record from Alexandria via LeMat-Bulk describes a crystal of AlCd3 relaxed with PBEsol. The functional is meta-GGA SCAN.

Output
magnetic moment: 0.000 μB per atom
ΔH_f (0 K): 0.109 eV per atom

POSCAR file:
```
AlCd3
1.0
-0.306 2.098 -2.113
-4.064 1.741 2.317
3.101 3.375 2.902
Cd Al
3 1
Cartesian
-2.136 1.899 0.074 Cd
-1.215 2.872 3.028 Cd
0.681 3.043 0.803 Cd
-4.017 1.721 2.290 Al
```


18.
This record from Alexandria via LeMat-Bulk describes a crystal of Li2MnNiO4 relaxed with PBEsol. The functional is meta-GGA SCAN.

Output
magnetic moment: 0.621 μB per atom
uncorrected formation energy: -2.0376 eV/atom
E above lowest polymorph: 0.0004 eV/atom

POSCAR file:
```
Li2MnNiO4
1.0
2.843 0.000 0.000
0.000 5.021 0.031
0.000 -1.676 4.667
Mn Li O Ni
1 2 4 1
Cartesian
0.000 1.672 2.349 Mn
0.000 0.000 0.000 Li
1.422 -0.838 2.333 Li
1.422 0.903 1.288 O
0.000 0.128 3.460 O
0.000 3.217 1.238 O
1.422 2.441 3.410 O
1.422 2.511 0.016 Ni
```


19.
This record from Alexandria via LeMat-Bulk describes a crystal of LiMg2Pb relaxed with PBEsol. The functional is meta-GGA SCAN.

Output
magnetic moment: 0.000 μB per atom
ΔH_f (0 K): -0.206 eV per atom

POSCAR file:
```
LiMg2Pb
1.0
-0.760 -3.126 0.976
3.727 -0.297 1.953
-2.555 2.253 5.218
Mg Li Pb
2 1 1
Cartesian
0.846 -1.151 2.765 Mg
-2.543 2.242 5.193 Mg
-0.424 -0.029 5.359 Li
-2.061 -1.979 3.633 Pb
```


20.
This record from Alexandria via LeMat-Bulk describes a crystal of ZnSe3 relaxed with PBEsol. The functional is meta-GGA SCAN.

Output
magnetic moment: 0.000 μB per atom
uncorrected formation energy: 0.0741 eV/atom

POSCAR file:
```
ZnSe3
1.0
-1.249 -1.451 -3.199
-5.147 -4.465 4.036
-1.344 7.292 -2.783
Se Zn
6 2
Cartesian
-2.194 1.059 -2.883 Se
-5.546 0.316 0.937 Se
-4.486 -1.817 1.490 Se
-3.255 3.193 -3.436 Se
-2.477 -1.020 0.344 Se
-5.263 2.396 -2.290 Se
-4.459 -0.529 -1.277 Zn
-3.282 1.905 -0.669 Zn
```


21.
This record from Alexandria via LeMat-Bulk describes a crystal of MgRu2Pb relaxed with PBEsol. The functional is meta-GGA SCAN.

Output
magnetic moment: 0.002 μB per atom
ΔH_f (0 K): 0.369 eV per atom

POSCAR file:
```
MgRu2Pb
1.0
-3.180 2.183 1.010
-1.820 -1.088 -3.376
0.874 -3.808 3.110
Ru Pb Mg
2 1 1
Cartesian
-2.403 -0.539 1.469 Ru
0.000 0.000 0.000 Ru
-1.723 -2.175 -0.724 Pb
-2.500 0.547 -1.183 Mg
```


22.
This record from Alexandria via LeMat-Bulk describes a crystal of Cu2MoHPt relaxed with PBEsol. The functional is meta-GGA SCAN.

Output
magnetic moment: 0.000 μB per atom
energy: -26.704 eV per atom

POSCAR file:
```
Cu2MoHPt
1.0
-2.727 1.520 -0.299
-1.112 -1.144 4.325
1.987 3.866 1.534
Cu Mo H Pt
2 1 1 1
Cartesian
0.994 1.933 0.767 Cu
-0.556 -0.572 2.162 Cu
0.000 0.000 0.000 Mo
-1.363 0.760 -0.149 H
-0.926 2.121 2.780 Pt
```


23.
This record from Alexandria via LeMat-Bulk describes a crystal of Sb2TeOs relaxed with PBEsol. The functional is meta-GGA SCAN.

Output
magnetic moment: 0.000 μB per atom
uncorrected formation energy: 0.6617 eV/atom

POSCAR file:
```
Sb2TeOs
1.0
4.927 -0.010 0.000
-1.634 4.649 0.000
-1.647 -2.320 4.023
Os Sb Te
1 2 1
Cartesian
1.647 2.320 0.000 Os
-1.640 1.165 2.012 Sb
1.640 -1.165 2.012 Sb
0.000 0.000 0.000 Te
```


24.
This record from Alexandria via LeMat-Bulk describes a crystal of SrCdAs relaxed with PBEsol. The functional is meta-GGA SCAN.

Output
magnetic moment: 0.000 μB per atom
ΔH_f (0 K): -0.562 eV per atom

POSCAR file:
```
SrCdAs
1.0
4.959 0.000 0.000
2.480 4.295 0.000
2.480 1.432 4.049
As Sr Cd
1 1 1
Cartesian
7.439 4.295 3.037 As
4.959 2.863 2.025 Sr
0.000 0.000 0.000 Cd
```


25.
This record from Alexandria via LeMat-Bulk describes a crystal of HfZrAs2Au relaxed with PBEsol. The functional is meta-GGA SCAN.

Output
magnetic moment: 0.000 μB per atom
ΔH_f (0 K): 0.610 eV per atom

POSCAR file:
```
HfZrAs2Au
1.0
-1.627 2.897 -3.640
3.095 -2.205 -3.138
-3.646 -3.486 -1.145
Au As Hf Zr
1 2 1 1
Cartesian
-1.089 -1.397 -3.962 Au
-0.813 1.449 -1.820 As
1.547 -1.103 -1.569 As
0.000 0.000 0.000 Hf
-1.823 -1.743 -0.573 Zr
```


26.
This record from Alexandria via LeMat-Bulk describes a crystal of AsRhCl2 relaxed with PBEsol. The functional is meta-GGA SCAN.

Output
magnetic moment: 0.295 μB per atom
uncorrected formation energy: 0.6461 eV/atom
E above lowest polymorph: 1.4051 eV/atom

POSCAR file:
```
AsRhCl2
1.0
-0.655 -1.740 2.726
-1.487 -3.366 -2.506
4.103 -1.726 -0.116
As Cl Rh
1 2 1
Cartesian
-0.327 -0.870 1.363 As
-0.744 -1.683 -1.253 Cl
2.051 -0.863 -0.058 Cl
0.981 -3.416 0.052 Rh
```